An optimized crystal structure of KNiSe. Source: Alexandria via LeMat-Bulk, functional PBE.

a = 4.049 Å, b = 4.049 Å, c = 9.908 Å
α = 90.00°, β = 90.00°, γ = 90.00°
Positions (direct):
K 0.500 0.000 0.207
Ni 0.500 0.500 0.500
K 0.000 0.500 0.793
Ni 0.000 0.000 0.500
Se 0.000 0.500 0.368
Se 0.500 0.000 0.632

Computed properties:
For the spin magnetization, the calculation gives 0.000 μB/atom. Its density of states at the Fermi level is 4.4 states/eV/f.u. As for the formation energy (no corrections): -0.482 eV per atom. The space group is P4/nmm (129). The final energy comes out at -3.9369 eV/atom.